HoEr2Tl2Cd4: optimized geometry, PBE.

Values from the calculation:
E_tot   -2.75 eV/atom

Cell lengths 4.5396, 13.0419, 7.5186 Å; angles 90.00, 90.00, 90.00 degrees
Space group Amm2 (No. 38)
Asymmetric unit:
Ho 0.0000 0.0000 0.0000 x2
Er 0.0000 0.2141 0.6423 x4
Tl 0.5000 0.1670 0.9282 x4
Cd 0.0000 0.0000 0.4291 x2
Cd 0.5000 0.0000 0.6694 x2
Cd 0.5000 0.1204 0.3080 x4

HOs2: optimized geometry, PBE.

Values from the calculation:
Distance to the lowest polymorph of the same formula   0.684 eV per atom

Cell lengths 7.1738, 7.1738, 7.1738 Å; angles 90.00, 90.00, 90.00 degrees
Space group Fd-3m (No. 227, origin choice 2)
Asymmetric unit:
H 0.1250 0.1250 0.1250 x8
Os 0.0000 0.0000 0.5000 x16

SrLiBiPd: optimized geometry, PBE.

Values from the calculation:
Distance to the lowest polymorph of the same formula   0.000 eV per atom

Cell lengths 7.1466, 7.1466, 7.1466 Å; angles 90.00, 90.00, 90.00 degrees
Space group F-43m (No. 216)
Asymmetric unit:
Sr 0.0000 0.0000 0.0000 x4
Li 0.2500 0.2500 0.2500 x4
Bi 0.0000 0.0000 0.5000 x4
Pd 0.2500 0.2500 0.7500 x4

GdScNi: optimized geometry, PBE.

Values from the calculation:
Energy of formation from the pure elements   0.608 eV per atom
Distance to the lowest polymorph of the same formula   0.750 eV per atom

Cell lengths 6.4513, 6.4513, 6.4513 Å; angles 90.00, 90.00, 90.00 degrees
Space group F-43m (No. 216)
Asymmetric unit:
Gd 0.0000 0.0000 0.0000 x4
Sc 0.2500 0.2500 0.2500 x4
Ni 0.2500 0.2500 0.7500 x4

GdDy2Be: optimized geometry, PBE.

Values from the calculation:
E_tot   -4.08 eV/atom

Cell lengths 3.8340, 5.1865, 5.2095 Å; angles 90.00, 90.00, 90.00 degrees
Space group Pmmm (No. 47)
Asymmetric unit:
Gd 0.0000 0.0000 0.0000 x1
Dy 0.0000 0.5000 0.5000 x1
Dy 0.5000 0.5000 0.0000 x1
Be 0.5000 0.0000 0.5000 x1

PrAuSO: optimized geometry, PBE.

Values from the calculation:
Distance to the lowest polymorph of the same formula   0.000 eV per atom

Cell lengths 9.0805, 5.8206, 5.8170 Å; angles 90.00, 90.00, 90.00 degrees
Space group Aem2 (No. 39)
Asymmetric unit:
Pr 0.1313 0.2500 0.0000 x4
Au 0.5000 0.0000 0.0009 x4
S 0.2909 0.2500 0.5007 x4
O 0.0000 0.0000 0.2500 x4

CdSnTeO: optimized geometry, PBE.

Values from the calculation:
Distance to the lowest polymorph of the same formula   0.144 eV per atom

Cell lengths 4.1211, 4.1211, 13.1849 Å; angles 90.00, 90.00, 120.00 degrees
Space group P6_3mc (No. 186)
Asymmetric unit:
Cd 0.0000 0.0000 0.0000 x2
Sn 0.3333 0.6667 0.2876 x2
Te 0.3333 0.6667 0.6140 x2
O 0.0000 0.0000 0.3360 x2

Nb3InB2: optimized geometry, PBE.

Values from the calculation:
E_tot   -8.19 eV/atom

Cell lengths 3.2962, 3.2962, 19.5685 Å; angles 90.00, 90.00, 120.00 degrees
Space group P6_3/mmc (No. 194)
Asymmetric unit:
Nb 0.0000 0.0000 0.0000 x2
Nb 0.3333 0.6667 0.1284 x4
In 0.0000 0.0000 0.2500 x2
B 0.3333 0.6667 0.5692 x4

Ba4Pd: optimized geometry, PBE.

Values from the calculation:
Distance to the lowest polymorph of the same formula   0.010 eV per atom

Cell lengths 6.4237, 6.4237, 12.8589 Å; angles 90.00, 90.00, 90.00 degrees
Space group I4mm (No. 107)
Asymmetric unit:
Ba 0.0000 0.0000 0.0000 x2
Ba 0.0000 0.0000 0.4892 x2
Ba 0.0000 0.5000 0.2442 x4
Pd 0.0000 0.0000 0.2456 x2

CdIn2Te4: optimized geometry, PBE.

Values from the calculation:
E_tot   -3.00 eV/atom

Cell lengths 12.4284, 12.4284, 12.4284 Å; angles 90.00, 90.00, 90.00 degrees
Space group Fd-3m (No. 227, origin choice 2)
Asymmetric unit:
Cd 0.1250 0.1250 0.1250 x8
In 0.0000 0.0000 0.5000 x16
Te 0.0085 0.0085 0.7415 x32

Li4In2NiHg: optimized geometry, PBE.

Values from the calculation:
E_tot   -2.64 eV/atom

Cell lengths 4.5017, 4.5017, 6.6268 Å; angles 90.00, 90.00, 90.00 degrees
Space group P-4m2 (No. 115)
Asymmetric unit:
Li 0.0000 0.0000 0.0000 x1
Li 0.0000 0.5000 0.2356 x2
Li 0.5000 0.5000 0.5000 x1
In 0.0000 0.5000 0.7864 x2
Ni 0.5000 0.5000 0.0000 x1
Hg 0.0000 0.0000 0.5000 x1

SrZnPb2: optimized geometry, PBE.

Values from the calculation:
E_tot   -2.78 eV/atom

Cell lengths 7.8675, 7.8675, 7.8675 Å; angles 90.00, 90.00, 90.00 degrees
Space group F-43m (No. 216)
Asymmetric unit:
Sr 0.0000 0.0000 0.0000 x4
Zn 0.2500 0.2500 0.7500 x4
Pb 0.0000 0.0000 0.5000 x4
Pb 0.2500 0.2500 0.2500 x4

KLuO3: optimized geometry, PBE.

Values from the calculation:
E_tot   -6.06 eV/atom

Cell lengths 6.1518, 8.6398, 6.0630 Å; angles 90.00, 90.00, 90.00 degrees
Space group Pnma (No. 62)
Asymmetric unit:
K 0.0015 0.2500 0.0014 x4
Lu 0.0000 0.0000 0.5000 x4
O 0.0025 0.7500 0.4885 x4
O 0.2419 0.5059 0.7583 x8